A relaxed structure of Tm6InGe2Te3, computed with GGA-PBE.

Cell lengths 9.5849, 9.5849, 8.6602 Å; angles 104.47, 104.47, 25.26 degrees
Atoms (fractional coordinates):
Tm 0.0088 0.0088 0.2545
Tm 0.3249 0.3249 0.4364
Tm 0.3322 0.3322 0.8931
Tm 0.6678 0.6678 0.1069
Tm 0.6751 0.6751 0.5636
Tm 0.9912 0.9912 0.7455
In 0.5000 0.5000 0.0000
Ge 0.1668 0.1668 0.3330
Ge 0.8332 0.8332 0.6670
Te 0.1647 0.1647 0.8306
Te 0.5000 0.5000 0.5000
Te 0.8353 0.8353 0.1694

Computed properties:
* calculated volume: 27.4 A^3/atom
* formation energy (no corrections): -22.7 kcal/mol of atoms
* ρ: 8.38 Mg/m³

=====

A relaxed structure of YIn2GeTe4, computed with GGA-PBE.

Cell lengths 7.6839, 4.3803, 7.9259 Å; angles 90.00, 108.83, 90.00 degrees
Atoms (fractional coordinates):
Y 0.0000 0.0000 0.0000
In 0.0000 0.5000 0.5000
In 0.5000 0.0000 0.5000
Ge 0.5000 0.5000 0.0000
Te 0.2467 0.5000 0.2286
Te 0.2577 0.0000 0.7715
Te 0.7423 0.0000 0.2285
Te 0.7533 0.5000 0.7714

Computed properties:
* calculated volume: 31.6 A^3/atom
* formation energy (no corrections): -12.6 kcal/mol of atoms
* ρ: 5.93 Mg/m³

=====

A relaxed structure of ThInGe2, computed with GGA-PBE.

Cell lengths 5.5374, 5.5374, 5.5374 Å; angles 50.90, 50.90, 50.90 degrees
Atoms (fractional coordinates):
Th 0.0000 0.0000 0.0000
In 0.5000 0.5000 0.5000
Ge 0.2285 0.2285 0.2285
Ge 0.7715 0.7715 0.7715

Computed properties:
* calculated volume: 23.6 A^3/atom
* formation enthalpy at 0 K: -0.215 eV per atom
* ρ: 8.67 Mg/m³

=====

A relaxed structure of ThInGe2, computed with GGA-PBE.

Cell lengths 4.7117, 4.7117, 4.1501 Å; angles 90.00, 90.00, 90.00 degrees
Atoms (fractional coordinates):
Th 0.0000 0.0000 0.0000
In 0.5000 0.5000 0.0000
Ge 0.0000 0.5000 0.5000
Ge 0.5000 0.0000 0.5000

Computed properties:
* calculated volume: 23.0 A^3/atom
* formation enthalpy at 0 K: -0.428 eV per atom
* ρ: 8.87 Mg/m³

=====

A relaxed structure of Th2InGe, computed with GGA-PBE.

Cell lengths 8.4108, 8.4108, 8.4108 Å; angles 28.77, 28.77, 28.77 degrees
Atoms (fractional coordinates):
Th 0.2393 0.2393 0.2393
Th 0.7607 0.7607 0.7607
In 0.0000 0.0000 0.0000
Ge 0.5000 0.5000 0.5000

Computed properties:
* calculated volume: 30.5 A^3/atom
* formation enthalpy at 0 K: -0.412 eV per atom
* ρ: 8.88 Mg/m³

=====

A relaxed structure of ThInGe2, computed with GGA-PBE.

Cell lengths 10.2955, 10.2955, 10.2955 Å; angles 155.46, 155.46, 34.98 degrees
Atoms (fractional coordinates):
Th 0.1077 0.1077 0.0000
Th 0.8923 0.8923 0.0000
In 0.2500 0.7500 0.5000
In 0.7500 0.2500 0.5000
Ge 0.0000 0.5000 0.5000
Ge 0.3810 0.3810 0.0000
Ge 0.5000 0.0000 0.5000
Ge 0.6190 0.6190 0.0000

Computed properties:
* calculated volume: 23.5 A^3/atom
* formation enthalpy at 0 K: -0.418 eV per atom
* ρ: 8.69 Mg/m³

=====

A relaxed structure of ThInGe4, computed with GGA-PBE.

Cell lengths 5.6753, 5.6753, 5.6753 Å; angles 60.00, 60.00, 60.00 degrees
Atoms (fractional coordinates):
Th 0.0000 0.0000 0.0000
In 0.2500 0.2500 0.2500
Ge 0.1262 0.6246 0.6246
Ge 0.6246 0.1262 0.6246
Ge 0.6246 0.6246 0.1262
Ge 0.6246 0.6246 0.6246

Computed properties:
* calculated volume: 21.5 A^3/atom
* formation enthalpy at 0 K: -0.123 eV per atom
* ρ: 8.19 Mg/m³

=====

A relaxed structure of Th2InGe, computed with GGA-PBE.

Cell lengths 3.9370, 3.9370, 6.9600 Å; angles 90.00, 90.00, 90.00 degrees
Atoms (fractional coordinates):
Th 0.0000 0.0000 0.2328
Th 0.0000 0.0000 0.7672
In 0.5000 0.5000 0.5000
Ge 0.5000 0.5000 0.0000

Computed properties:
* calculated volume: 27.0 A^3/atom
* formation enthalpy at 0 K: -0.408 eV per atom
* ρ: 10.03 Mg/m³